[1]
An optimized crystal structure of RbTl16In12. Source: Alexandria, functional PBE-GGA.

Cell: 10.391 10.391 10.485 Å, 109.51 109.51 108.54°
Element x y z (fractional)
Rb1 0.000 0.000 0.000
Tl1 0.206 0.605 0.587
Tl2 0.228 0.924 0.282
Tl3 0.250 0.250 0.918
Tl4 0.271 0.869 0.940
Tl5 0.288 0.288 0.556
Tl6 0.315 0.996 0.666
Tl7 0.590 0.908 0.878
Tl8 0.596 0.596 0.266
Tl9 0.599 0.955 0.261
Tl10 0.605 0.206 0.587
Tl11 0.608 0.608 0.625
Tl12 0.869 0.271 0.940
Tl13 0.908 0.590 0.878
Tl14 0.924 0.228 0.282
Tl15 0.955 0.599 0.261
Tl16 0.996 0.315 0.666
In1 0.220 0.593 0.087
In2 0.244 0.427 0.284
In3 0.389 0.587 0.898
In4 0.427 0.244 0.284
In5 0.431 0.796 0.464
In6 0.587 0.389 0.898
In7 0.593 0.220 0.087
In8 0.748 0.748 0.072
In9 0.785 0.969 0.615
In10 0.796 0.431 0.464
In11 0.969 0.785 0.615
In12 0.972 0.972 0.420

Results
**Spin magnetization**: 0.000 μB per formula unit
**Formation enthalpy at 0 K**: 10 kJ/mol of formula units
**VASP energy**: -2.47 eV per atom



[2]
An optimized crystal structure of RbTl6In. Source: Alexandria, functional PBE-GGA.

Cell: 5.416 5.416 9.699 Å, 90.00 90.00 90.00°
Element x y z (fractional)
Rb1 0.000 0.000 0.000
Tl1 0.000 0.500 0.324
Tl2 0.000 0.500 0.676
Tl3 0.500 0.000 0.324
Tl4 0.500 0.000 0.676
Tl5 0.500 0.500 0.156
Tl6 0.500 0.500 0.844
In1 0.000 0.000 0.500

Results
**Spin magnetization**: 0.000 μB per formula unit
**Formation enthalpy at 0 K**: -3 kJ/mol of formula units
**VASP energy**: -2.24 eV per atom
**Distance to the lowest polymorph of the same formula**: 0.83 kcal/mol of atoms



[3]
An optimized crystal structure of RbTl9In3. Source: Alexandria, functional PBE-GGA.

Cell: 8.701 8.701 8.612 Å, 97.29 97.29 137.03°
Element x y z (fractional)
Rb1 0.000 0.000 0.000
Tl1 0.000 0.000 0.500
Tl2 0.002 0.643 0.646
Tl3 0.290 0.506 0.788
Tl4 0.357 0.998 0.354
Tl5 0.494 0.710 0.212
Tl6 0.506 0.290 0.788
Tl7 0.643 0.002 0.646
Tl8 0.710 0.494 0.212
Tl9 0.998 0.357 0.354
In1 0.000 0.500 0.000
In2 0.500 0.000 0.000
In3 0.500 0.500 0.500

Results
**Spin magnetization**: 0.000 μB per formula unit
**Formation enthalpy at 0 K**: -20 kJ/mol of formula units
**VASP energy**: -2.36 eV per atom



[4]
An optimized crystal structure of Rb2Tl12In5. Source: Alexandria, functional PBE-GGA.

Cell: 8.641 8.641 8.641 Å, 81.98 81.98 81.98°
Element x y z (fractional)
Rb1 0.160 0.160 0.160
Rb2 0.840 0.840 0.840
Tl1 0.150 0.150 0.641
Tl2 0.150 0.641 0.150
Tl3 0.208 0.500 0.792
Tl4 0.208 0.792 0.500
Tl5 0.359 0.850 0.850
Tl6 0.500 0.208 0.792
Tl7 0.500 0.792 0.208
Tl8 0.641 0.150 0.150
Tl9 0.792 0.208 0.500
Tl10 0.792 0.500 0.208
Tl11 0.850 0.359 0.850
Tl12 0.850 0.850 0.359
In1 0.000 0.500 0.500
In2 0.405 0.405 0.405
In3 0.500 0.000 0.500
In4 0.500 0.500 0.000
In5 0.595 0.595 0.595

Results
**Spin magnetization**: 0.000 μB per formula unit
**Formation enthalpy at 0 K**: -45 kJ/mol of formula units
**VASP energy**: -2.34 eV per atom



[5]
An optimized crystal structure of RbTlIn3. Source: Alexandria, functional PBE-GGA.

Cell: 5.035 5.035 7.458 Å, 109.70 109.70 89.79°
Element x y z (fractional)
Rb1 0.000 0.000 0.000
Tl1 0.390 0.390 0.780
In1 0.248 0.750 0.498
In2 0.619 0.619 0.237
In3 0.750 0.248 0.498

Results
**Spin magnetization**: 0.000 μB per formula unit
**Formation enthalpy at 0 K**: -44 kJ/mol of formula units
**VASP energy**: -2.40 eV per atom
**Distance to the lowest polymorph of the same formula**: 0.00 kcal/mol of atoms



[6]
An optimized crystal structure of RbTl3In3. Source: Alexandria, functional PBE-GGA.

Cell: 8.389 8.389 8.389 Å, 90.00 90.00 90.00°
Element x y z (fractional)
Rb1 0.000 0.000 0.000
Rb2 0.500 0.500 0.500
Tl1 0.000 0.250 0.500
Tl2 0.000 0.750 0.500
Tl3 0.250 0.500 0.000
Tl4 0.500 0.000 0.250
Tl5 0.500 0.000 0.750
Tl6 0.750 0.500 0.000
In1 0.000 0.500 0.250
In2 0.000 0.500 0.750
In3 0.250 0.000 0.500
In4 0.500 0.250 0.000
In5 0.500 0.750 0.000
In6 0.750 0.000 0.500

Results
**Spin magnetization**: 0.000 μB per formula unit
**Formation enthalpy at 0 K**: 78 kJ/mol of formula units
**VASP energy**: -2.21 eV per atom
**Distance to the lowest polymorph of the same formula**: 3.37 kcal/mol of atoms



[7]
An optimized crystal structure of RbTl2In. Source: Alexandria, functional PBE-GGA.

Cell: 5.435 5.435 4.697 Å, 90.00 90.00 90.00°
Element x y z (fractional)
Rb1 0.000 0.000 0.000
Tl1 0.000 0.500 0.500
Tl2 0.500 0.000 0.500
In1 0.500 0.500 0.000

Results
**Spin magnetization**: 0.000 μB per formula unit
**Formation enthalpy at 0 K**: 25 kJ/mol of formula units
**VASP energy**: -2.05 eV per atom
**Distance to the lowest polymorph of the same formula**: 3.63 kcal/mol of atoms



[8]
An optimized crystal structure of RbTl12In4. Source: Alexandria, functional PBE-GGA.

Cell: 9.190 9.190 9.190 Å, 109.47 109.47 109.47°
Element x y z (fractional)
Rb1 0.000 0.000 0.000
Tl1 0.155 0.509 0.355
Tl2 0.155 0.800 0.645
Tl3 0.200 0.355 0.845
Tl4 0.355 0.155 0.509
Tl5 0.355 0.845 0.200
Tl6 0.491 0.645 0.845
Tl7 0.509 0.355 0.155
Tl8 0.645 0.155 0.800
Tl9 0.645 0.845 0.491
Tl10 0.800 0.645 0.155
Tl11 0.845 0.200 0.355
Tl12 0.845 0.491 0.645
In1 0.000 0.000 0.500
In2 0.000 0.500 0.000
In3 0.500 0.000 0.000
In4 0.500 0.500 0.500

Results
**Spin magnetization**: 0.000 μB per formula unit
**Formation enthalpy at 0 K**: 222 kJ/mol of formula units
**VASP energy**: -2.24 eV per atom



[9]
An optimized crystal structure of Rb2TlIn. Source: Alexandria, functional PBE-GGA.

Cell: 6.293 6.293 6.293 Å, 60.00 60.00 60.00°
Element x y z (fractional)
Rb1 0.250 0.250 0.250
Rb2 0.750 0.750 0.750
Tl1 0.000 0.000 0.000
In1 0.500 0.500 0.500

Results
**Spin magnetization**: 0.000 μB per formula unit
**Formation enthalpy at 0 K**: 42 kJ/mol of formula units
**VASP energy**: -1.65 eV per atom
**Distance to the lowest polymorph of the same formula**: 4.05 kcal/mol of atoms



[10]
An optimized crystal structure of Rb2TlIn6. Source: Alexandria, functional PBE-GGA.

Cell: 6.874 6.874 7.215 Å, 90.16 90.16 60.34°
Element x y z (fractional)
Rb1 0.165 0.165 0.375
Rb2 0.835 0.835 0.625
Tl1 0.500 0.500 0.500
In1 0.148 0.673 0.150
In2 0.324 0.324 0.844
In3 0.327 0.852 0.850
In4 0.673 0.148 0.150
In5 0.676 0.676 0.156
In6 0.852 0.327 0.850

Results
**Spin magnetization**: 0.000 μB per formula unit
**Formation enthalpy at 0 K**: -61 kJ/mol of formula units
**VASP energy**: -2.37 eV per atom



[11]
An optimized crystal structure of RbTlIn. Source: Alexandria, functional PBE-GGA.

Cell: 18.351 5.015 5.009 Å, 90.00 90.00 90.00°
Element x y z (fractional)
Rb1 0.080 0.250 0.248
Rb2 0.420 0.750 0.748
Rb3 0.580 0.250 0.252
Rb4 0.920 0.750 0.752
Tl1 0.143 0.750 0.748
Tl2 0.357 0.250 0.248
Tl3 0.643 0.750 0.752
Tl4 0.857 0.250 0.252
In1 0.250 0.250 0.748
In2 0.250 0.750 0.248
In3 0.750 0.250 0.752
In4 0.750 0.750 0.252

Results
**Spin magnetization**: 0.000 μB per formula unit
**Formation enthalpy at 0 K**: -29 kJ/mol of formula units
**VASP energy**: -2.12 eV per atom
**Distance to the lowest polymorph of the same formula**: 0.00 kcal/mol of atoms



[12]
An optimized crystal structure of RbTlIn2. Source: Alexandria, functional PBE-GGA.

Cell: 7.083 7.083 8.143 Å, 95.96 95.96 42.92°
Element x y z (fractional)
Rb1 0.000 0.000 0.000
Rb2 0.119 0.119 0.473
Tl1 0.708 0.708 0.179
Tl2 0.840 0.840 0.533
In1 0.285 0.285 0.929
In2 0.392 0.392 0.289
In3 0.447 0.447 0.677
In4 0.681 0.681 0.794

Results
**Spin magnetization**: 0.000 μB per formula unit
**Formation enthalpy at 0 K**: -32 kJ/mol of formula units
**VASP energy**: -2.28 eV per atom
**Distance to the lowest polymorph of the same formula**: 0.00 kcal/mol of atoms



[13]
An optimized crystal structure of RbTlIn. Source: Alexandria, functional PBE-GGA.

Cell: 9.103 5.332 9.112 Å, 90.00 90.00 90.00°
Element x y z (fractional)
Rb1 0.001 0.250 0.177
Rb2 0.499 0.750 0.677
Rb3 0.501 0.250 0.323
Rb4 0.999 0.750 0.823
Tl1 0.176 0.750 0.408
Tl2 0.324 0.250 0.908
Tl3 0.676 0.750 0.092
Tl4 0.824 0.250 0.592
In1 0.171 0.250 0.588
In2 0.329 0.750 0.088
In3 0.671 0.250 0.912
In4 0.829 0.750 0.412

Results
**Spin magnetization**: 0.000 μB per formula unit
**Formation enthalpy at 0 K**: -28 kJ/mol of formula units
**VASP energy**: -2.12 eV per atom
**Distance to the lowest polymorph of the same formula**: 0.08 kcal/mol of atoms



[14]
An optimized crystal structure of Rb2TlIn2. Source: Alexandria, functional PBE-GGA.

Cell: 11.093 11.093 3.439 Å, 90.00 90.00 90.00°
Element x y z (fractional)
Rb1 0.197 0.303 0.000
Rb2 0.303 0.803 0.000
Rb3 0.697 0.197 0.000
Rb4 0.803 0.697 0.000
Tl1 0.000 0.000 0.000
Tl2 0.500 0.500 0.000
In1 0.095 0.595 0.500
In2 0.405 0.095 0.500
In3 0.595 0.905 0.500
In4 0.905 0.405 0.500

Results
**Spin magnetization**: 0.000 μB per formula unit
**Formation enthalpy at 0 K**: 70 kJ/mol of formula units
**VASP energy**: -1.81 eV per atom
**Distance to the lowest polymorph of the same formula**: 4.98 kcal/mol of atoms



[15]
An optimized crystal structure of Rb3Tl4In2. Source: Alexandria, functional PBE-GGA.

Cell: 5.266 7.472 10.592 Å, 107.66 90.16 110.63°
Element x y z (fractional)
Rb1 0.000 0.000 0.000
Rb2 0.380 0.759 0.624
Rb3 0.620 0.241 0.376
Tl1 0.088 0.174 0.649
Tl2 0.302 0.604 0.935
Tl3 0.698 0.396 0.065
Tl4 0.912 0.826 0.351
In1 0.307 0.616 0.232
In2 0.693 0.384 0.768

Results
**Spin magnetization**: 0.000 μB per formula unit
**Formation enthalpy at 0 K**: -68 kJ/mol of formula units
**VASP energy**: -2.06 eV per atom



[16]
An optimized crystal structure of RbTlIn2. Source: Alexandria, functional PBE-GGA.

Cell: 4.011 4.011 8.737 Å, 90.00 90.00 90.00°
Element x y z (fractional)
Rb1 0.000 0.000 0.000
Tl1 0.000 0.000 0.500
In1 0.500 0.500 0.311
In2 0.500 0.500 0.689

Results
**Spin magnetization**: 0.000 μB per formula unit
**Formation enthalpy at 0 K**: -11 kJ/mol of formula units
**VASP energy**: -2.23 eV per atom
**Distance to the lowest polymorph of the same formula**: 1.22 kcal/mol of atoms



[17]
An optimized crystal structure of Rb2TlIn. Source: Alexandria, functional PBE-GGA.

Cell: 6.471 6.471 4.156 Å, 90.00 90.00 90.00°
Element x y z (fractional)
Rb1 0.000 0.500 0.000
Rb2 0.500 0.000 0.000
Tl1 0.000 0.000 0.500
In1 0.500 0.500 0.500

Results
**Spin magnetization**: 0.000 μB per formula unit
**Formation enthalpy at 0 K**: 43 kJ/mol of formula units
**VASP energy**: -1.65 eV per atom
**Distance to the lowest polymorph of the same formula**: 4.08 kcal/mol of atoms



[18]
An optimized crystal structure of Rb2Tl3In6. Source: Alexandria, functional PBE-GGA.

Cell: 9.643 9.643 4.386 Å, 90.00 90.00 96.11°
Element x y z (fractional)
Rb1 0.226 0.774 0.000
Rb2 0.774 0.226 0.000
Tl1 0.309 0.309 0.000
Tl2 0.500 0.500 0.500
Tl3 0.691 0.691 0.000
In1 0.111 0.111 0.500
In2 0.117 0.418 0.500
In3 0.418 0.117 0.500
In4 0.582 0.883 0.500
In5 0.883 0.582 0.500
In6 0.889 0.889 0.500

Results
**Spin magnetization**: 0.000 μB per formula unit
**Formation enthalpy at 0 K**: 14 kJ/mol of formula units
**VASP energy**: -2.30 eV per atom



[19]
An optimized crystal structure of RbTl2In. Source: Alexandria, functional PBE-GGA.

Cell: 8.174 5.430 12.730 Å, 90.00 90.00 90.00°
Element x y z (fractional)
Rb1 0.249 0.250 0.170
Rb2 0.251 0.750 0.670
Rb3 0.749 0.250 0.330
Rb4 0.751 0.750 0.830
Tl1 0.052 0.250 0.879
Tl2 0.233 0.250 0.460
Tl3 0.267 0.750 0.960
Tl4 0.448 0.750 0.379
Tl5 0.552 0.250 0.621
Tl6 0.733 0.250 0.040
Tl7 0.767 0.750 0.540
Tl8 0.948 0.750 0.121
In1 0.059 0.750 0.378
In2 0.441 0.250 0.878
In3 0.559 0.750 0.122
In4 0.941 0.250 0.622

Results
**Spin magnetization**: 0.000 μB per formula unit
**Formation enthalpy at 0 K**: -28 kJ/mol of formula units
**VASP energy**: -2.18 eV per atom
**Distance to the lowest polymorph of the same formula**: 0.47 kcal/mol of atoms



[20]
An optimized crystal structure of RbTlIn11. Source: Alexandria, functional PBE-GGA.

Cell: 8.433 8.433 8.292 Å, 98.57 98.57 134.40°
Element x y z (fractional)
Rb1 0.000 0.000 0.000
Tl1 0.000 0.000 0.500
In1 0.000 0.361 0.356
In2 0.000 0.500 0.000
In3 0.000 0.639 0.644
In4 0.287 0.507 0.784
In5 0.361 0.000 0.356
In6 0.493 0.713 0.216
In7 0.500 0.000 0.000
In8 0.500 0.500 0.500
In9 0.507 0.287 0.784
In10 0.639 0.000 0.644
In11 0.713 0.493 0.216

Results
**Spin magnetization**: 0.000 μB per formula unit
**Formation enthalpy at 0 K**: -7 kJ/mol of formula units
**VASP energy**: -2.58 eV per atom